# Ge3RuO, relaxed, DFT GGA-PBE
# Raw formation energy   1.3 eV/f.u.
# Magnetization   0.00 μB per formula unit
data_Ge3RuO
_chemical_formula_sum 'Ge3 Ru1 O1'
_cell_length_a 4.7418
_cell_length_b 4.7418
_cell_length_c 4.7418
_cell_angle_alpha 90.00
_cell_angle_beta 90.00
_cell_angle_gamma 90.00
_symmetry_space_group_name_H-M 'P m -3 m'
_symmetry_Int_Tables_number 221
_symmetry_space_group_name_Hall '-P 4 2 3'
loop_
_atom_site_label
_atom_site_type_symbol
_atom_site_fract_x
_atom_site_fract_y
_atom_site_fract_z
_atom_site_occupancy
Ge1 Ge 0.0000 0.0000 0.5000 1
Ru1 Ru 0.0000 0.0000 0.0000 1
O1 O 0.5000 0.5000 0.5000 1